Computed, not measured: ZnNi4O6 after structural relaxation at the PBE with a Hubbard U level of DFT.

abc: 5.0842 5.0842 14.8915
angles: 90.00 90.00 146.80
With the nearest neighbours (Å) after each atom.
Fractional positions:
Zn 0.1542 0.8458 0.7500  6 O 2.03-2.24
Zn 0.8458 0.1542 0.2500  6 O 2.03-2.24
Ni 0.0973 0.9027 0.1348  6 O 1.98-2.22
Ni 0.0973 0.9027 0.3652  6 O 1.98-2.22
Ni 0.3641 0.6359 0.0448  6 O 1.95-2.08
Ni 0.3641 0.6359 0.4552  6 O 1.95-2.08
Ni 0.6359 0.3641 0.5448  6 O 1.95-2.08
Ni 0.6359 0.3641 0.9552  6 O 1.95-2.08
Ni 0.9027 0.0973 0.6348  6 O 1.98-2.22
Ni 0.9027 0.0973 0.8652  6 O 1.98-2.22
O 0.0000 0.0000 0.0000  6 Ni 2.08-2.22
O 0.0000 0.0000 0.5000  6 Ni 2.08-2.22
O 0.1998 0.8002 0.2500  2 Ni 1.98, 2 Zn 2.03
O 0.2775 0.7225 0.5767  5 Ni 2.00-2.09
O 0.2775 0.7225 0.9233  5 Ni 2.00-2.09
O 0.4563 0.5437 0.1610  3 Ni 1.95-2.04
O 0.4563 0.5437 0.3390  3 Ni 1.95-2.04
O 0.5437 0.4563 0.6610  3 Ni 1.95-2.04
O 0.5437 0.4563 0.8390  3 Ni 1.95-2.04
O 0.7225 0.2775 0.0767  5 Ni 2.00-2.09
O 0.7225 0.2775 0.4233  5 Ni 2.00-2.09
O 0.8002 0.1998 0.7500  2 Ni 1.98, 2 Zn 2.03

Density of states at the Fermi level: 0.43 states/eV/atom
DFT total energy: -103.17 eV/cell